Compound: VFeAsOs2
Source: Alexandria
Functional: GGA-PBE
Structure: relaxed

Summary:
Electronic total energy (eV per atom): -7.265
M_tot (μB/f.u.): 1.28
D(E_F) (states/eV per atom): 1.461
Calculated density (Mg/m³): 10.6
Energy of formation (eV/atom): 1.6729

abc: 4.4638 4.4638 4.4327
angles: 90.00 90.00 90.00
Element x y z (fractional)
V 0.0000 0.0000 0.0000
Fe 0.5000 0.5000 0.0000
As 0.0000 0.0000 0.5000
Os 0.0000 0.5000 0.5000
Os 0.5000 0.0000 0.5000

---

Compound: ZnAgPdF6
Source: Alexandria
Functional: GGA-PBE
Structure: relaxed

Summary:
Electronic total energy (eV per atom): -3.829
M_tot (μB/f.u.): 1.00
D(E_F) (states/eV per atom): 0.494
Calculated density (Mg/m³): 5.0
Uncorrected formation energy (eV per atom): -1.5463

abc: 5.4816 5.4816 10.0817
angles: 90.00 90.00 120.00
Element x y z (fractional)
Zn 0.3333 0.6667 0.2500
Zn 0.6667 0.3333 0.7500
Ag 0.0000 0.0000 0.0000
Ag 0.0000 0.0000 0.5000
Pd 0.3333 0.6667 0.7500
Pd 0.6667 0.3333 0.2500
F 0.0013 0.3549 0.1410
F 0.0013 0.6465 0.3590
F 0.3535 0.3549 0.3590
F 0.3535 0.9987 0.1410
F 0.3549 0.0013 0.6410
F 0.3549 0.3535 0.8590
F 0.6451 0.6465 0.1410
F 0.6451 0.9987 0.3590
F 0.6465 0.0013 0.8590
F 0.6465 0.6451 0.6410
F 0.9987 0.3535 0.6410
F 0.9987 0.6451 0.8590

---

Compound: Cs2GeI6O
Source: Alexandria
Functional: GGA-PBE
Structure: relaxed

Summary:
Electronic total energy (eV per atom): -2.618
M_tot (μB/f.u.): 0.00
D(E_F) (states/eV per atom): 0.303
Calculated density (Mg/m³): 4.6
Uncorrected formation energy (eV per atom): -0.5594

abc: 8.8170 8.8170 8.8170
angles: 129.24 129.24 74.63
Element x y z (fractional)
Cs 0.2500 0.7500 0.5000
Cs 0.7500 0.2500 0.5000
Ge 0.0000 0.0000 0.0000
I 0.2124 0.2124 0.0000
I 0.2696 0.2696 0.5392
I 0.2696 0.7304 0.0000
I 0.7304 0.2696 0.0000
I 0.7304 0.7304 0.4608
I 0.7876 0.7876 0.0000
O 0.5000 0.5000 0.0000

---

Compound: Pr2DyThSe4
Source: Alexandria
Functional: GGA-PBE
Structure: relaxed

Summary:
Electronic total energy (eV per atom): -6.176
M_tot (μB/f.u.): 0.00
D(E_F) (states/eV per atom): 0.538
Calculated density (Mg/m³): 7.8
Uncorrected formation energy (eV per atom): -1.7362

abc: 7.2855 4.1713 7.3209
angles: 90.00 109.11 90.00
Element x y z (fractional)
Pr 0.0000 0.0000 0.0000
Pr 0.0000 0.5000 0.5000
Dy 0.5000 0.0000 0.5000
Th 0.5000 0.5000 0.0000
Se 0.2578 0.0000 0.7459
Se 0.2631 0.5000 0.2605
Se 0.7369 0.5000 0.7395
Se 0.7422 0.0000 0.2541

---

Compound: Ce6P2IrCl3
Source: Alexandria
Functional: GGA-PBE
Structure: relaxed

Summary:
Electronic total energy (eV per atom): -6.459
M_tot (μB/f.u.): 5.42
D(E_F) (states/eV per atom): 2.774
Calculated density (Mg/m³): 6.8
Uncorrected formation energy (eV per atom): -1.3903

abc: 9.1736 9.1736 8.3065
angles: 101.95 101.95 25.50
Element x y z (fractional)
Ce 0.0045 0.0045 0.2334
Ce 0.3293 0.3293 0.4247
Ce 0.3358 0.3358 0.9059
Ce 0.6642 0.6642 0.0941
Ce 0.6707 0.6707 0.5753
Ce 0.9955 0.9955 0.7666
P 0.1672 0.1672 0.3355
P 0.8328 0.8328 0.6645
Ir 0.5000 0.5000 0.0000
Cl 0.1667 0.1667 0.8319
Cl 0.5000 0.5000 0.5000
Cl 0.8333 0.8333 0.1681

---

Compound: CrCdGe2Pb
Source: Alexandria
Functional: GGA-PBE
Structure: relaxed

Summary:
Electronic total energy (eV per atom): -3.792
M_tot (μB/f.u.): 4.23
D(E_F) (states/eV per atom): 0.453
Calculated density (Mg/m³): 6.3
Energy of formation (eV/atom): 0.9048

abc: 5.1376 5.1376 5.1778
angles: 90.00 90.00 90.00
Element x y z (fractional)
Cr 0.0000 0.0000 0.0000
Cd 0.0000 0.0000 0.5000
Ge 0.0000 0.5000 0.5000
Ge 0.5000 0.0000 0.5000
Pb 0.5000 0.5000 0.0000